# Pu2Ga5IrPd2

Crystalline Pu2Ga5IrPd2 at its relaxed geometry (PBE, Alexandria).

```
data_Pu2Ga5IrPd2
_chemical_formula_sum 'Pu4 Ga10 Ir2 Pd4'
_space_group_name_H-M_alt 'P 4/m b m'
_space_group_IT_number 127
_space_group_name_Hall '-P 4 2ab'
_cell_length_a 11.119
_cell_length_b 11.119
_cell_length_c 2.911
_cell_angle_alpha 90.00
_cell_angle_beta 90.00
_cell_angle_gamma 90.00
loop_
_atom_site_label
_atom_site_fract_x
_atom_site_fract_y
_atom_site_fract_z
_atom_site_occupancy
Pu1 0.173 0.327 0.000 1
Ga1 0.000 0.500 0.500 1
Ga2 0.052 0.812 0.500 1
Ir1 0.000 0.000 0.000 1
Pd1 0.136 0.636 0.000 1
```

# PuGa3IrPd

Crystalline PuGa3IrPd at its relaxed geometry (PBE, Alexandria).

```
data_PuGa3IrPd
_chemical_formula_sum 'Pu4 Ga12 Ir4 Pd4'
_space_group_name_H-M_alt 'C m c m'
_space_group_IT_number 63
_space_group_name_Hall '-C 2c 2'
_cell_length_a 8.141
_cell_length_b 10.826
_cell_length_c 5.596
_cell_angle_alpha 90.00
_cell_angle_beta 90.00
_cell_angle_gamma 90.00
loop_
_atom_site_label
_atom_site_fract_x
_atom_site_fract_y
_atom_site_fract_z
_atom_site_occupancy
Pu1 0.000 0.190 0.250 1
Ga1 0.000 0.314 0.750 1
Ga2 0.241 0.000 0.000 1
Ir1 0.000 0.085 0.750 1
Pd1 0.000 0.455 0.250 1
```

# PuGa4IrPd2

Crystalline PuGa4IrPd2 at its relaxed geometry (PBE, Alexandria).

```
data_PuGa4IrPd2
_chemical_formula_sum 'Pu3 Ga12 Ir3 Pd6'
_space_group_name_H-M_alt 'R -3 m'
_space_group_IT_number 166
_space_group_name_Hall '-R 3 2"'
_cell_length_a 4.2837
_cell_length_b 4.2837
_cell_length_c 26.4758
_cell_angle_alpha 90.00
_cell_angle_beta 90.00
_cell_angle_gamma 120.00
loop_
_atom_site_label
_atom_site_fract_x
_atom_site_fract_y
_atom_site_fract_z
_atom_site_occupancy
Pu1 0.0000 0.0000 0.0000 1
Ga1 0.0000 0.0000 0.1324 1
Ga2 0.0000 0.0000 0.3990 1
Ir1 0.0000 0.0000 0.5000 1
Pd1 0.0000 0.0000 0.2359 1
```

# GaReIr2Pd

Crystalline GaReIr2Pd at its relaxed geometry (PBE, Alexandria).

```
data_GaReIr2Pd
_chemical_formula_sum 'Ga1 Re1 Ir2 Pd1'
_space_group_name_H-M_alt 'P 4/m m m'
_space_group_IT_number 123
_space_group_name_Hall '-P 4 2'
_cell_length_a 4.800
_cell_length_b 4.800
_cell_length_c 4.379
_cell_angle_alpha 90.00
_cell_angle_beta 90.00
_cell_angle_gamma 90.00
loop_
_atom_site_label
_atom_site_fract_x
_atom_site_fract_y
_atom_site_fract_z
_atom_site_occupancy
Ga1 0.000 0.000 0.000 1
Re1 0.500 0.500 0.000 1
Ir1 0.000 0.500 0.500 1
Pd1 0.000 0.000 0.500 1
```

Calculated formation energy values, unit meV per atom, following the record order: -422, -311, -479, 1974.
DOS at the Fermi energy values, unit states/eV/atom, following the record order: 1.73, 1.92, 1.46, 1.28.